(1)
The following is a PBE-GGA calculation of a relaxed Pm6SnPb2 crystal, from the Alexandria database.

Cell and atoms, written as POSCAR:
```
Pm6SnPb2
1.0
8.6171 0.0000 0.0000
-4.3086 7.4627 0.0000
0.0000 0.0000 4.5140
Pm Sn Pb
6 1 2
Direct
0.0000 0.4021 0.0000 Pm
0.0000 0.7410 0.5000 Pm
0.2590 0.2590 0.5000 Pm
0.4021 0.0000 0.0000 Pm
0.5979 0.5979 0.0000 Pm
0.7410 0.0000 0.5000 Pm
0.0000 0.0000 0.0000 Sn
0.3333 0.6667 0.5000 Pb
0.6667 0.3333 0.5000 Pb
```

## Properties
Total magnetic moment = 5.2 μB per cell
Energy of formation = -0.49 eV per atom
SG = P-62m (189)

***

(2)
The following is a PBE-GGA calculation of a relaxed PrPu2F8 crystal, from the Alexandria database.

Cell and atoms, written as POSCAR:
```
PrPu2F8
1.0
-1.9626 3.2769 5.8149
1.9626 -3.2769 5.8149
1.9626 3.2769 -5.8149
Pr Pu F
1 2 8
Direct
0.0000 0.0000 0.0000 Pr
0.3227 0.3227 0.0000 Pu
0.6773 0.6773 0.0000 Pu
0.1125 0.8420 0.2705 F
0.1369 0.6369 0.5000 F
0.3038 0.5000 0.8038 F
0.4285 0.1580 0.2705 F
0.5715 0.8420 0.7295 F
0.6962 0.5000 0.1962 F
0.8631 0.3631 0.5000 F
0.8875 0.1580 0.7295 F
```

## Properties
Total magnetic moment = 11.0 μB per cell
SG = Immm (71)
Uncorrected formation energy = -3610 meV per atom

***

(3)
The following is a PBE-GGA calculation of a relaxed Li2Pu3Si4 crystal, from the Alexandria database.

Cell and atoms, written as POSCAR:
```
Li2Pu3Si4
1.0
5.0752 -2.1732 0.0000
5.0752 2.1732 0.0000
-3.1046 0.0000 7.6998
Li Pu Si
2 3 4
Direct
0.1321 0.1321 0.2997 Li
0.8679 0.8679 0.7003 Li
0.1599 0.1599 0.6735 Pu
0.5000 0.5000 0.0000 Pu
0.8401 0.8401 0.3265 Pu
0.2142 0.2142 0.0461 Si
0.4324 0.4324 0.5940 Si
0.5676 0.5676 0.4060 Si
0.7858 0.7858 0.9539 Si
```

## Properties
Total magnetic moment = 16.2 μB per cell
SG = C2/m (12)
Uncorrected formation energy = -334 meV per atom

***

Number 1: total DFT energy (no corrections) -4.92 eV per atom, calculated volume 32.3 A^3/atom. Number 2: total DFT energy (no corrections) -8.01 eV per atom, calculated volume 13.6 A^3/atom. Number 3: total DFT energy (no corrections) -7.95 eV per atom, calculated volume 18.9 A^3/atom.